# 1
This record from the Alexandria database describes a relaxed structure of SiAgSbAu2. The functional is PBE.

a b c (Å): 5.1840 5.1840 5.3236
angles (deg): 90.00 90.00 90.00
Closest atoms and distances in Å follow each position.
Space group P4/mmm (No. 123)
One atom of each set of equivalent atoms:
Si: 0.0000 0.0000 0.0000 (multiplicity 1)  2 Sb 2.66
Ag: 0.5000 0.5000 0.0000 (multiplicity 1)  4 Si 3.67, 8 Au 3.72
Sb: 0.0000 0.0000 0.5000 (multiplicity 1)  4 Au 2.59, 2 Si 2.66
Au: 0.0000 0.5000 0.5000 (multiplicity 2)  2 Sb 2.59

Calculated values
raw total energy = -14.7 eV/cell
magnetization = 0.0 μB/cell
N(E_F) = 2.5 states/eV/f.u.


# 2
This record from the Alexandria database describes a relaxed structure of TmUC2. The functional is PBE.

a b c (Å): 3.5597 3.5597 16.8615
angles (deg): 90.00 90.00 120.00
Closest atoms and distances in Å follow each position.
Space group R-3m (No. 166, hexagonal axes)
One atom of each set of equivalent atoms:
Tm: 0.0000 0.0000 0.0000 (multiplicity 3)  6 C 2.59
U: 0.0000 0.0000 0.5000 (multiplicity 3)  6 C 2.39
C: 0.0000 0.0000 0.2395 (multiplicity 6)  3 U 2.39, 3 Tm 2.59

Calculated values
raw total energy = -106.4 eV/cell
magnetization = 0.0 μB/cell
N(E_F) = 2.6 states/eV/f.u.
E_form = -0.3139 eV per atom